RuRh: relaxed, PBE.

The structure in POSCAR format:
```
RuRh
1.0
7.113 0.000 0.000
-3.557 6.160 0.000
0.000 0.000 4.230
Ru Rh
6 6
Direct
0.055 0.815 0.250
0.185 0.240 0.250
0.240 0.055 0.750
0.760 0.945 0.250
0.815 0.760 0.750
0.945 0.185 0.750
0.105 0.621 0.750
0.379 0.484 0.750
0.484 0.105 0.250
0.516 0.895 0.750
0.621 0.516 0.250
0.895 0.379 0.250
```

Calculated formation energy in meV per atom: 277
Space-group type: No. 176
D(E_F) in states/eV per cell: 12.14
VASP energy in eV for the cell shown: -96.44

***

CsDyCo2Cl8: relaxed, PBE.

The structure in POSCAR format:
```
CsDyCo2Cl8
1.0
5.369 -3.650 0.000
5.369 3.650 0.000
-1.245 0.000 10.144
Cs Dy Co Cl
1 1 2 8
Direct
0.000 0.000 0.000
0.000 0.000 0.500
0.385 0.385 0.703
0.615 0.615 0.297
0.236 0.737 0.308
0.247 0.247 0.515
0.263 0.764 0.692
0.314 0.314 0.895
0.686 0.686 0.105
0.737 0.236 0.308
0.753 0.753 0.485
0.764 0.263 0.692
```

Space-group type: No. 12
E_form (uncorrected) in eV per formula unit: -16.4
VASP energy in eV for the cell shown: -50.82

***

NaSnBi3: relaxed, PBE.

The structure in POSCAR format:
```
NaSnBi3
1.0
6.429 0.000 0.000
0.000 9.488 0.000
-2.351 0.000 5.996
Na Sn Bi
2 2 6
Direct
0.237 0.250 0.265
0.763 0.750 0.735
0.409 0.750 0.086
0.591 0.250 0.914
0.127 0.750 0.371
0.242 0.000 0.740
0.242 0.500 0.740
0.758 0.000 0.260
0.758 0.500 0.260
0.873 0.250 0.629
```

Calculated formation energy in meV per atom: -9
ΔE to the lowest computed polymorph in meV per atom: 29
Space-group type: No. 11
D(E_F) in states/eV per cell: 4.25
VASP energy in eV for the cell shown: -34.01

***

Look up the VASP energy of the second one.
-50.82 eV for the cell shown

***

Repeat the first record exactly.
RuRh: relaxed, PBE.

The structure in POSCAR format:
```
RuRh
1.0
7.113 0.000 0.000
-3.557 6.160 0.000
0.000 0.000 4.230
Ru Rh
6 6
Direct
0.055 0.815 0.250
0.185 0.240 0.250
0.240 0.055 0.750
0.760 0.945 0.250
0.815 0.760 0.750
0.945 0.185 0.750
0.105 0.621 0.750
0.379 0.484 0.750
0.484 0.105 0.250
0.516 0.895 0.750
0.621 0.516 0.250
0.895 0.379 0.250
```

Calculated formation energy in meV per atom: 277
Space-group type: No. 176
D(E_F) in states/eV per cell: 12.14
VASP energy in eV for the cell shown: -96.44

***

Look up the VASP energy of the third one.
-34.01 eV for the cell shown